Compound: LaThAsS
Source: Alexandria via LeMat-Bulk
Functional: PBE-GGA
Structure: optimized geometry

a b c (Å): 4.207 4.207 5.940
angles (deg): 90.00 90.00 90.00
Space group P4/mmm (No. 123)
Unique sites:
La (0.000, 0.000, 0.000) (multiplicity 1)
Th (0.500, 0.500, 0.500) (multiplicity 1)
As (0.500, 0.500, 0.000) (multiplicity 1)
S (0.000, 0.000, 0.500) (multiplicity 1)

Values from the calculation:
Calculated volume, Å³ per atom: 26.28
Fermi-level density of states, states/eV/f.u.: 2.7
E_form (uncorrected), eV/atom: -1.699
DFT total energy, eV/atom: -6.980